[1]
# LiBe2CrS

An optimized crystal structure of LiBe2CrS (PBE, Alexandria).

Lattice parameters (Å, degrees): 3.944 3.944 3.910 90.00 90.00 90.00
Space group P4/mmm (No. 123)
Symmetry-distinct sites (fractional):
Li  0.000  0.000  0.000
Be  0.000  0.500  0.000
Cr  0.500  0.500  0.500
S  0.000  0.000  0.500

Calculated values
**Formation energy without anion corrections**: 1.10 eV/atom
**Crystal system**: tetragonal
**D(E_F)**: 4.22 states/eV per cell
**Total energy**: -3.5190 eV/atom
**Density**: 3.0 g/cm³

***

[2]
# LuBe4Cr

An optimized crystal structure of LuBe4Cr (PBE, Alexandria).

Lattice parameters (Å, degrees): 6.579 6.579 6.579 90.00 90.00 90.00
Space group F-43m (No. 216)
Symmetry-distinct sites (fractional):
Lu  0.000  0.000  0.000
Be  0.123  0.123  0.377
Cr  0.250  0.250  0.750

Calculated values
**Crystal system**: cubic
**D(E_F)**: 3.43 states/eV per cell
**Total energy**: -4.8750 eV/atom
**Energy of formation from the pure elements**: -19 kJ/mol of formula units
**Density**: 6.1 g/cm³

***

[3]
# MgBeCr2

An optimized crystal structure of MgBeCr2 (PBE, Alexandria).

Lattice parameters (Å, degrees): 2.469 4.028 5.026 90.00 90.00 90.00
Space group Pmmm (No. 47)
Symmetry-distinct sites (fractional):
Mg  0.000  0.000  0.000
Be  0.000  0.000  0.500
Cr  0.500  0.500  0.282

Calculated values
**Crystal system**: orthorhombic
**D(E_F)**: 1.76 states/eV per cell
**Total energy**: -5.6996 eV/atom
**Energy of formation from the pure elements**: 171 kJ/mol of formula units
**Density**: 4.6 g/cm³